[1]
## Hf3TiTl (GGA-PBE)

Data for crystalline Hf3TiTl at its relaxed geometry.

a b c (Å): 5.2491 5.2491 5.2491
angles (deg): 90.00 90.00 90.00
With the nearest neighbours (Å) after each atom.
Fractional coordinates of all 5 atoms:
Tl 0.0000 0.0000 0.0000  6 Hf 2.62
Hf 0.0000 0.5000 0.0000  2 Tl 2.62
Hf 0.0000 0.0000 0.5000  2 Tl 2.62
Hf 0.5000 0.0000 0.0000  2 Tl 2.62
Ti 0.5000 0.5000 0.5000  12 Hf 3.71

Properties
- DFT formation energy: 1.504 eV/atom
- Crystal system: cubic
- Excess energy over the best structure of this formula in the dataset: 1457 meV/atom

***

[2]
## Er8PPt3Se3 (GGA-PBE)

Data for crystalline Er8PPt3Se3 at its relaxed geometry.

a b c (Å): 8.0090 8.0089 8.2039
angles (deg): 119.22 90.00 120.00
With the nearest neighbours (Å) after each atom.
Fractional coordinates of all 15 atoms:
Er 0.2560 0.5121 0.2681  3 Pt 2.80, 3 Se 2.94
Er 0.7440 0.4879 0.7319  3 Pt 2.80, 3 Se 2.94
Er 0.7543 0.5085 0.2674  2 Pt 2.79, 1 P 2.82, 2 Se 2.95
Er 0.2457 0.4915 0.7326  2 Pt 2.79, 1 P 2.82, 2 Se 2.95
Er 0.7543 0.0132 0.2674  2 Pt 2.79, 1 P 2.82, 2 Se 2.95
Er 0.2457 0.9868 0.7326  2 Pt 2.79, 1 P 2.82, 2 Se 2.95
Er 0.2589 0.0132 0.2674  2 Pt 2.79, 1 P 2.82, 2 Se 2.95
Er 0.7411 0.9868 0.7326  2 Pt 2.79, 1 P 2.82, 2 Se 2.95
P 0.0000 0.0000 0.5000  6 Er 2.82
Pt 0.5000 0.0000 0.5000  6 Er 2.79-2.80
Pt 0.5000 0.5000 0.5000  6 Er 2.79-2.80
Pt 0.0000 0.5000 0.5000  6 Er 2.79-2.80
Se 0.0000 0.0000 0.0000  6 Er 2.94-2.95
Se 0.0000 0.5000 0.0000  6 Er 2.94-2.95
Se 0.5000 0.5000 0.0000  6 Er 2.94-2.95

Properties
- Crystal system: trigonal
- ΔE_f (raw): -20.224 eV/f.u.

***

[3]
## TmSi3Ir3 (GGA-PBE)

Data for crystalline TmSi3Ir3 at its relaxed geometry.

a b c (Å): 6.5308 6.5308 6.5308
angles (deg): 90.00 90.00 90.00
With the nearest neighbours (Å) after each atom.
Fractional coordinates of all 14 atoms:
Si 0.0000 0.2500 0.5000  4 Ir 2.31
Si 0.0000 0.7500 0.5000  4 Ir 2.31
Si 0.5000 0.0000 0.7500  4 Ir 2.31
Si 0.7500 0.5000 0.0000  4 Ir 2.31
Si 0.5000 0.0000 0.2500  4 Ir 2.31
Si 0.2500 0.5000 0.0000  4 Ir 2.31
Ir 0.2500 0.0000 0.5000  4 Si 2.31
Ir 0.0000 0.5000 0.2500  4 Si 2.31
Ir 0.5000 0.7500 0.0000  4 Si 2.31
Ir 0.7500 0.0000 0.5000  4 Si 2.31
Ir 0.0000 0.5000 0.7500  4 Si 2.31
Ir 0.5000 0.2500 0.0000  4 Si 2.31
Tm 0.5000 0.5000 0.5000  12 Ir 3.65, 12 Si 3.65
Tm 0.0000 0.0000 0.0000  12 Ir 3.65, 12 Si 3.65

Properties
- Crystal system: cubic
- Excess energy over the best structure of this formula in the dataset: 287 meV/atom
- ΔE_f (raw): -2.439 eV/f.u.

***

> What is the formula in the second record?

Er8PPt3Se3